(1)
VASP calculation (PBE) on Li2PdRh after structural relaxation.

Geometry as POSCAR:
```
Li2PdRh
1.0
4.2615 0.0000 0.0000
0.0000 4.2615 0.0000
0.0000 0.0000 2.8468
Li Pd Rh
2 1 1
Direct
0.0000 0.5000 0.0000
0.5000 0.0000 0.0000
0.0000 0.0000 0.5000
0.5000 0.5000 0.5000
```

Summary:
The space group is P4/mmm, No. 123. The formation energy is -0.160 eV per atom.

=====

(2)
VASP calculation (PBE) on Tm4SnRuRh2 after structural relaxation.

Geometry as POSCAR:
```
Tm4SnRuRh2
1.0
2.4322 1.4042 8.1418
-2.4322 1.4042 8.1418
0.0000 -2.8084 8.1418
Tm Sn Ru Rh
4 1 1 2
Direct
0.1157 0.1157 0.1157
0.3695 0.3695 0.3695
0.6305 0.6305 0.6305
0.8843 0.8843 0.8843
0.5000 0.5000 0.5000
0.0000 0.0000 0.0000
0.2523 0.2523 0.2523
0.7477 0.7477 0.7477
```

Summary:
The space group is R-3m, No. 166. The formation energy is -0.716 eV per atom.

=====

(3)
VASP calculation (PBE) on NaBeRe2 after structural relaxation.

Geometry as POSCAR:
```
NaBeRe2
1.0
-1.8668 1.8668 9.3346
1.8668 -1.8668 9.3346
1.8668 1.8668 -9.3346
Na Be Re
2 2 4
Direct
0.0000 0.0000 0.0000
0.7500 0.2500 0.5000
0.2500 0.7500 0.5000
0.5000 0.5000 0.0000
0.1689 0.1250 0.5439
0.3750 0.8311 0.9561
0.5811 0.6250 0.4561
0.8750 0.4189 0.0439
```

Summary:
The space group is I-42d, No. 122. The formation energy is 1.102 eV per atom.

=====

(4)
VASP calculation (PBE) on Li2TcSe after structural relaxation.

Geometry as POSCAR:
```
Li2TcSe
1.0
-1.8303 1.8303 3.9465
1.8303 -1.8303 3.9465
1.8303 1.8303 -3.9465
Li Tc Se
2 1 1
Direct
0.0000 0.0000 0.0000
0.7500 0.2500 0.5000
0.5000 0.5000 0.0000
0.2500 0.7500 0.5000
```

Summary:
The space group is I-4m2, No. 119. As for the formation energy (no corrections): -0.115 eV per atom.

=====

(5)
VASP calculation (PBE) on Tb4In3Os after structural relaxation.

Geometry as POSCAR:
```
Tb4In3Os
1.0
3.5419 0.0000 0.0000
0.0000 3.5419 0.0000
0.0000 0.0000 16.0051
Tb In Os
4 3 1
Direct
0.0000 0.0000 0.1018
0.0000 0.0000 0.3678
0.0000 0.0000 0.6322
0.0000 0.0000 0.8982
0.5000 0.5000 0.2387
0.5000 0.5000 0.5000
0.5000 0.5000 0.7613
0.5000 0.5000 0.0000
```

Summary:
The space group is P4/mmm, No. 123. The formation energy is -0.413 eV per atom.

=====

(6)
VASP calculation (PBE) on Pr2Nd4Dy5 after structural relaxation.

Geometry as POSCAR:
```
Pr2Nd4Dy5
1.0
-1.7711 4.6439 11.6479
1.7711 -4.6439 11.6479
1.7711 4.6439 -11.6479
Pr Nd Dy
2 4 5
Direct
0.2313 0.2313 0.0000
0.7687 0.7687 0.0000
0.0959 0.0959 0.0000
0.2036 0.5000 0.7036
0.7964 0.5000 0.2964
0.9041 0.9041 0.0000
0.1632 0.3568 0.8064
0.4496 0.6432 0.8064
0.5000 0.0000 0.5000
0.5504 0.3568 0.1936
0.8368 0.6432 0.1936
```

Summary:
The space group is Immm, No. 71. The calculation puts the excess energy over the best structure of this formula in the dataset at 140.2 meV/atom. The formation energy is 0.240 eV per atom.

=====

| no. | magnetic moment (μB per atom) |
| --- | --- |
| 1 | 0.0830 |
| 2 | 0.0000 |
| 3 | 0.0000 |
| 4 | 0.0000 |
| 5 | 0.0000 |
| 6 | 0.0000 |